[1]
Pm4Nd3Y5 | GGA-PBE | relaxed

Cell lengths 6.014, 8.670, 9.808 Å; angles 105.90, 72.15, 69.71 degrees
Positions (direct):
1 Pm 0.170 0.041 0.618
2 Pm 0.830 0.959 0.382
3 Pm 0.138 0.778 0.946
4 Pm 0.862 0.222 0.054
5 Y 0.215 0.456 0.113
6 Y 0.785 0.544 0.887
7 Y 0.373 0.055 0.200
8 Y 0.500 0.500 0.500
9 Y 0.627 0.945 0.800
10 Nd 0.477 0.313 0.733
11 Nd 0.000 0.500 0.500
12 Nd 0.523 0.687 0.267

- Formation energy from the elements: 0.215 eV/atom
- E_tot: -5.25 eV per atom
- Magnetic moment: 0.243 Bohr magnetons per cell
- Excess energy over the best structure of this formula in the dataset: 232 kJ/mol of formula units



[2]
Ca2TlInO | GGA-PBE | relaxed

Cell lengths 5.946, 5.260, 5.946 Å; angles 90.00, 90.00, 90.00 degrees
Positions (direct):
1 Ca 0.000 0.000 0.500
2 Ca 0.500 0.000 0.000
3 O 0.500 0.500 0.500
4 Tl 0.000 0.000 0.000
5 In 0.000 0.500 0.000

- E_tot: -2.51 eV per atom
- Magnetic moment: 0.000 Bohr magnetons per cell
- Raw formation energy: 0.30 eV/atom



[3]
LiAlSnAu | GGA-PBE | relaxed

Cell lengths 4.704, 4.704, 4.704 Å; angles 60.00, 60.00, 60.00 degrees
Positions (direct):
1 Al 0.250 0.250 0.250
2 Sn 0.500 0.500 0.500
3 Au 0.000 0.000 0.000
4 Li 0.750 0.750 0.750

- Formation energy from the elements: -0.226 eV/atom
- E_tot: -3.46 eV per atom
- Magnetic moment: 0.000 Bohr magnetons per cell



[4]
PmPr3Pt2 | GGA-PBE | relaxed

Cell lengths 3.899, 8.809, 10.207 Å; angles 90.00, 90.00, 90.00 degrees
Positions (direct):
1 Pm 0.500 0.003 0.445
2 Pm 0.500 0.503 0.555
3 Pr 0.000 0.330 0.280
4 Pr 0.000 0.997 0.057
5 Pr 0.500 0.171 0.777
6 Pr 0.500 0.671 0.223
7 Pr 0.000 0.497 0.943
8 Pr 0.000 0.830 0.720
9 Pt 0.500 0.270 0.065
10 Pt 0.000 0.730 0.437
11 Pt 0.500 0.770 0.935
12 Pt 0.000 0.230 0.563

- Formation energy from the elements: -0.762 eV/atom
- E_tot: -5.96 eV per atom
- Magnetic moment: 0.000 Bohr magnetons per cell
- Excess energy over the best structure of this formula in the dataset: 0 kJ/mol of formula units



[5]
Rb3MnAg2Cl8 | GGA-PBE | relaxed

Cell lengths 7.110, 7.110, 9.730 Å; angles 90.00, 90.00, 120.00 degrees
Positions (direct):
1 Cl 0.842 0.158 0.648
2 Cl 0.333 0.667 0.949
3 Cl 0.158 0.842 0.352
4 Cl 0.158 0.316 0.352
5 Cl 0.842 0.684 0.648
6 Cl 0.684 0.842 0.352
7 Cl 0.316 0.158 0.648
8 Cl 0.667 0.333 0.051
9 Rb 0.667 0.333 0.374
10 Rb 0.000 0.000 0.000
11 Rb 0.333 0.667 0.626
12 Ag 0.667 0.333 0.804
13 Ag 0.333 0.667 0.196
14 Mn 0.000 0.000 0.500

- E_tot: -3.56 eV per atom
- Magnetic moment: 4.000 Bohr magnetons per cell
- Raw formation energy: -1.23 eV/atom



[6]
LaCe4Nd | GGA-PBE | relaxed

Cell lengths 6.380, 6.380, 6.380 Å; angles 60.00, 60.00, 60.00 degrees
Positions (direct):
1 Ce 0.627 0.627 0.627
2 Ce 0.627 0.627 0.120
3 Ce 0.627 0.120 0.627
4 Ce 0.120 0.627 0.627
5 La 0.250 0.250 0.250
6 Nd 0.000 0.000 0.000

- Formation energy from the elements: 0.191 eV/atom
- E_tot: -5.38 eV per atom
- Magnetic moment: 4.218 Bohr magnetons per cell